Entry 1:
{"formula": "PrMg4Cd4", "functional": "PBE", "state": "relaxed", "lattice_angstrom": [[6.6427, 0.0000, 0.0000], [0.0000, 6.6427, 0.0000], [0.0000, 0.0000, 9.9832]], "species": ["Pr", "Pr", "Mg", "Mg", "Mg", "Mg", "Mg", "Mg", "Mg", "Mg", "Cd", "Cd", "Cd", "Cd", "Cd", "Cd", "Cd", "Cd"], "fractional_positions": [[0.2500, 0.7500, 0.2500], [0.7500, 0.2500, 0.7500], [0.0277, 0.2500, 0.1695], [0.2500, 0.0277, 0.6695], [0.2500, 0.4723, 0.6695], [0.4723, 0.2500, 0.1695], [0.5277, 0.7500, 0.8305], [0.7500, 0.5277, 0.3305], [0.7500, 0.9723, 0.3305], [0.9723, 0.7500, 0.8305], [0.0243, 0.2500, 0.4626], [0.2500, 0.0243, 0.9626], [0.2500, 0.4757, 0.9626], [0.4757, 0.2500, 0.4626], [0.5243, 0.7500, 0.5374], [0.7500, 0.5243, 0.0374], [0.7500, 0.9757, 0.0374], [0.9757, 0.7500, 0.5374]], "formation_energy_kj_per_mol_fu": -92, "total_energy_ev_per_cell": -31.55, "space_group": "P4_2/nmc (137)"}

=====

Entry 2:
{"formula": "CaPrIrPt", "functional": "PBE", "state": "relaxed", "lattice_angstrom": [[0.0000, 3.5352, 3.5352], [3.5352, 0.0000, 3.5352], [3.5352, 3.5352, 0.0000]], "species": ["Ca", "Pr", "Ir", "Pt"], "fractional_positions": [[0.0000, 0.0000, 0.0000], [0.5000, 0.5000, 0.5000], [0.7500, 0.7500, 0.7500], [0.2500, 0.2500, 0.2500]], "formation_energy_kj_per_mol_fu": -253, "total_energy_ev_per_cell": -24.30, "space_group": "F-43m (216)"}

=====

Entry 3:
{"formula": "MgSc2Tl2", "functional": "PBE", "state": "relaxed", "lattice_angstrom": [[2.4055, -7.9671, 0.0000], [2.4055, 7.9671, 0.0000], [0.0000, 0.0000, 6.2047]], "species": ["Mg", "Mg", "Sc", "Sc", "Sc", "Sc", "Tl", "Tl", "Tl", "Tl"], "fractional_positions": [[0.1148, 0.8852, 0.5000], [0.8852, 0.1148, 0.0000], [0.3121, 0.6879, 0.6858], [0.4844, 0.5156, 0.2757], [0.5156, 0.4844, 0.7757], [0.6879, 0.3121, 0.1858], [0.0773, 0.9227, 0.0321], [0.2991, 0.7009, 0.1765], [0.7009, 0.2991, 0.6765], [0.9227, 0.0773, 0.5321]], "formation_energy_kj_per_mol_fu": -86, "total_energy_ev_per_cell": -39.76, "space_group": "Cmc2_1 (36)"}

=====

Entry 4:
{"formula": "LaOF", "functional": "PBE", "state": "relaxed", "lattice_angstrom": [[3.6700, 0.0000, 0.0000], [0.0000, 3.6700, 0.0000], [0.0000, 0.0000, 6.4277]], "species": ["La", "La", "O", "O", "F", "F"], "fractional_positions": [[0.2500, 0.2500, 0.2301], [0.7500, 0.7500, 0.7699], [0.2500, 0.2500, 0.8659], [0.7500, 0.7500, 0.1341], [0.2500, 0.7500, 0.5000], [0.7500, 0.2500, 0.5000]], "total_energy_ev_per_cell": -45.92, "space_group": "P4/nmm (129)", "formation_energy_uncorrected_mev_per_atom": -3735}

=====

Entry 5:
{"formula": "MgCdTc4", "functional": "PBE", "state": "relaxed", "lattice_angstrom": [[0.0000, 3.6923, 3.6923], [3.6923, 0.0000, 3.6923], [3.6923, 3.6923, 0.0000]], "species": ["Mg", "Cd", "Tc", "Tc", "Tc", "Tc"], "fractional_positions": [[0.0000, 0.0000, 0.0000], [0.7500, 0.7500, 0.7500], [0.3751, 0.3751, 0.3751], [0.3751, 0.3751, 0.8747], [0.3751, 0.8747, 0.3751], [0.8747, 0.3751, 0.3751]], "formation_energy_kj_per_mol_fu": 180, "total_energy_ev_per_cell": -42.11, "space_group": "F-43m (216)"}

=====

Entry 6:
{"formula": "CoPtAu4", "functional": "PBE", "state": "relaxed", "lattice_angstrom": [[0.0000, 3.8096, 3.8096], [3.8096, 0.0000, 3.8096], [3.8096, 3.8096, 0.0000]], "species": ["Co", "Pt", "Au", "Au", "Au", "Au"], "fractional_positions": [[0.0000, 0.0000, 0.0000], [0.7500, 0.7500, 0.7500], [0.3749, 0.3749, 0.3749], [0.3749, 0.3749, 0.8752], [0.3749, 0.8752, 0.3749], [0.8752, 0.3749, 0.3749]], "formation_energy_kj_per_mol_fu": 305, "total_energy_ev_per_cell": -23.10, "space_group": "F-43m (216)"}

=====

Entry 7:
{"formula": "Ho5GaRh2", "functional": "PBE", "state": "relaxed", "lattice_angstrom": [[-3.8297, 3.8297, 6.5515], [3.8297, -3.8297, 6.5515], [3.8297, 3.8297, -6.5515]], "species": ["Ho", "Ho", "Ho", "Ho", "Ho", "Ho", "Ho", "Ho", "Ho", "Ho", "Ga", "Ga", "Rh", "Rh", "Rh", "Rh"], "fractional_positions": [[0.0000, 0.0000, 0.0000], [0.0208, 0.5208, 0.8215], [0.1993, 0.0208, 0.5000], [0.3007, 0.8007, 0.8215], [0.4792, 0.3007, 0.5000], [0.5000, 0.5000, 0.0000], [0.5208, 0.6993, 0.5000], [0.6993, 0.1993, 0.1785], [0.8007, 0.9792, 0.5000], [0.9792, 0.4792, 0.1785], [0.2500, 0.2500, 0.0000], [0.7500, 0.7500, 0.0000], [0.1383, 0.3617, 0.5000], [0.3617, 0.8617, 0.2234], [0.6383, 0.1383, 0.7766], [0.8617, 0.6383, 0.5000]], "formation_energy_kj_per_mol_fu": -508, "total_energy_ev_per_cell": -91.77, "space_group": "I4/mcm (140)"}

=====

Entry 8:
{"formula": "Tb3ScAg", "functional": "PBE", "state": "relaxed", "lattice_angstrom": [[5.4926, -3.6493, 0.0000], [5.4926, 3.6493, 0.0000], [-3.0425, 0.0000, 7.1283]], "species": ["Tb", "Tb", "Tb", "Tb", "Tb", "Tb", "Sc", "Sc", "Ag", "Ag"], "fractional_positions": [[0.0446, 0.0446, 0.2336], [0.0886, 0.5781, 0.3510], [0.4219, 0.9114, 0.6490], [0.5781, 0.0886, 0.3510], [0.9114, 0.4219, 0.6490], [0.9554, 0.9554, 0.7664], [0.4415, 0.4415, 0.7590], [0.5585, 0.5585, 0.2410], [0.2694, 0.2694, 0.9970], [0.7306, 0.7306, 0.0030]], "formation_energy_kj_per_mol_fu": 7, "total_energy_ev_per_cell": -46.00, "space_group": "C2/m (12)"}

=====

| no. | magnetic moment (μB/f.u.) |
| --- | --- |
| 1 | 0.0 |
| 2 | 0.0 |
| 3 | 0.0 |
| 4 | 0.0 |
| 5 | 0.0 |
| 6 | 2.4 |
| 7 | 0.0 |
| 8 | 0.0 |